1.
Below is a geometry-optimized Pm2Sm4Dy5 structure, with properties calculated at the GGA-PBE level.

Lattice parameters (Å, degrees): 12.1160 6.9077 10.4984 90.00 123.03 90.00
Space group C2/m (No. 12)
Inequivalent atoms, fractional coordinates:
Pm: 0.2425 0.0000 0.3444 [4 per cell]
Sm: 0.1848 0.0000 0.0003 [4 per cell]
Sm: 0.2179 0.0000 0.6572 [4 per cell]
Dy: 0.9998 0.2673 0.3273 [8 per cell]
Dy: 0.0000 0.5000 0.0000 [2 per cell]

N(E_F)	1.5911	states/eV/atom
spin magnetization	0.0	μB per formula unit

2.
Below is a geometry-optimized Pm2Sm4Dy5 structure, with properties calculated at the GGA-PBE level.

Lattice parameters (Å, degrees): 19.7217 5.8481 6.3336 90.00 95.74 90.00
Space group C2/m (No. 12)
Inequivalent atoms, fractional coordinates:
Pm: 0.1002 0.0000 0.0398 [4 per cell]
Sm: 0.0385 0.5000 0.7777 [4 per cell]
Sm: 0.1953 0.0000 0.5721 [4 per cell]
Dy: 0.0000 0.0000 0.5000 [2 per cell]
Dy: 0.1277 0.5000 0.3511 [4 per cell]
Dy: 0.2137 0.5000 0.8936 [4 per cell]

N(E_F)	1.9130	states/eV/atom
spin magnetization	0.0	μB per formula unit

The most stable arrangement is 2, and the next structure is 55 meV per atom less stable.

1.
Below is a geometry-optimized Pm5Sm4Dy structure, with properties calculated at the GGA-PBE level.

Lattice parameters (Å, degrees): 25.9420 3.6307 7.2592 90.00 98.05 90.00
Space group C2/m (No. 12)
Inequivalent atoms, fractional coordinates:
Pm: 0.0000 0.0000 0.0000 [2 per cell]
Pm: 0.0993 0.5000 0.3010 [4 per cell]
Pm: 0.1998 0.0000 0.1003 [4 per cell]
Sm: 0.0994 0.5000 0.7981 [4 per cell]
Sm: 0.1996 0.0000 0.5993 [4 per cell]
Dy: 0.0000 0.0000 0.5000 [2 per cell]

N(E_F)	1.3963	states/eV/atom
spin magnetization	0.0	μB per formula unit

2.
Below is a geometry-optimized Pm5Sm4Dy structure, with properties calculated at the GGA-PBE level.

Lattice parameters (Å, degrees): 10.5889 10.5889 6.1679 90.00 90.00 90.00
Space group I4 (No. 79)
Inequivalent atoms, fractional coordinates:
Pm: 0.0000 0.0000 0.0000 [2 per cell]
Pm: 0.1885 0.1893 0.7276 [8 per cell]
Sm: 0.0004 0.3246 0.2499 [8 per cell]
Dy: 0.0000 0.0000 0.4659 [2 per cell]

N(E_F)	1.4988	states/eV/atom
spin magnetization	0.0	μB per formula unit

The most stable arrangement is 1, and the next structure is 226 meV per atom less stable.

1.
Below is a geometry-optimized PmSm2Dy4 structure, with properties calculated at the GGA-PBE level.

Lattice parameters (Å, degrees): 4.5526 4.5526 22.6321 90.00 90.00 90.00
Space group I4/mmm (No. 139)
Inequivalent atoms, fractional coordinates:
Pm: 0.0000 0.0000 0.0000 [2 per cell]
Sm: 0.0000 0.0000 0.4029 [4 per cell]
Dy: 0.0000 0.0000 0.1398 [4 per cell]
Dy: 0.0000 0.5000 0.2500 [4 per cell]

N(E_F)	1.5532	states/eV/atom
spin magnetization	0.0	μB per formula unit

2.
Below is a geometry-optimized PmSm2Dy4 structure, with properties calculated at the GGA-PBE level.

Lattice parameters (Å, degrees): 16.8272 3.5497 8.8043 90.00 119.72 90.00
Space group C2/m (No. 12)
Inequivalent atoms, fractional coordinates:
Pm: 0.0000 0.0000 0.0000 [2 per cell]
Sm: 0.0694 0.0000 0.4284 [4 per cell]
Dy: 0.1448 0.5000 0.8418 [4 per cell]
Dy: 0.2061 0.5000 0.2934 [4 per cell]

N(E_F)	1.4110	states/eV/atom
spin magnetization	0.0	μB per formula unit

The most stable arrangement is 2, and the next structure is 224 meV per atom less stable.

1.
Below is a geometry-optimized Pm4SmDy6 structure, with properties calculated at the GGA-PBE level.

Lattice parameters (Å, degrees): 6.6550 6.6550 17.0441 90.00 90.00 90.00
Space group I-42m (No. 121)
Inequivalent atoms, fractional coordinates:
Pm: 0.1894 0.1894 0.3245 [8 per cell]
Sm: 0.0000 0.0000 0.5000 [2 per cell]
Dy: 0.0000 0.5000 0.0000 [4 per cell]
Dy: 0.1780 0.1780 0.1262 [8 per cell]

N(E_F)	1.3809	states/eV/atom
spin magnetization	0.0	μB per formula unit

2.
Below is a geometry-optimized Pm4SmDy6 structure, with properties calculated at the GGA-PBE level.

Lattice parameters (Å, degrees): 7.7127 7.7127 13.0806 90.00 90.00 90.00
Space group I-42m (No. 121)
Inequivalent atoms, fractional coordinates:
Pm: 0.1731 0.1731 0.4242 [8 per cell]
Sm: 0.0000 0.0000 0.0000 [2 per cell]
Dy: 0.0000 0.5000 0.0000 [4 per cell]
Dy: 0.2447 0.2447 0.1852 [8 per cell]

N(E_F)	1.3369	states/eV/atom
spin magnetization	0.0	μB per formula unit

The most stable arrangement is 1, and the next structure is 133 meV per atom less stable.

1.
Below is a geometry-optimized Pm5Sm2Dy3 structure, with properties calculated at the GGA-PBE level.

Lattice parameters (Å, degrees): 10.8626 15.3736 9.7953 90.00 123.45 90.00
Space group C2/c (No. 15)
Inequivalent atoms, fractional coordinates:
Pm: 0.0000 0.0302 0.2500 [4 per cell]
Pm: 0.0000 0.2305 0.2500 [4 per cell]
Pm: 0.0000 0.2694 0.7500 [4 per cell]
Pm: 0.2357 0.1186 0.7244 [8 per cell]
Sm: 0.1450 0.3773 0.5528 [8 per cell]
Dy: 0.0000 0.4769 0.7500 [4 per cell]
Dy: 0.1574 0.1214 0.0490 [8 per cell]

N(E_F)	1.8778	states/eV/atom
spin magnetization	0.0	μB per formula unit

2.
Below is a geometry-optimized Pm5Sm2Dy3 structure, with properties calculated at the GGA-PBE level.

Lattice parameters (Å, degrees): 9.4360 21.9492 6.8791 90.00 90.00 90.00
Space group Ibam (No. 72)
Inequivalent atoms, fractional coordinates:
Pm: 0.0000 0.0000 0.2500 [4 per cell]
Pm: 0.0000 0.2517 0.2500 [8 per cell]
Pm: 0.0960 0.1262 0.0000 [8 per cell]
Sm: 0.0967 0.3774 0.5000 [8 per cell]
Dy: 0.0000 0.5000 0.2500 [4 per cell]
Dy: 0.2479 0.3788 0.0000 [8 per cell]

N(E_F)	1.4902	states/eV/atom
spin magnetization	0.0	μB per formula unit

The most stable arrangement is 1, and the next structure is 184 meV per atom less stable.

1.
Below is a geometry-optimized Pm2SmDy6 structure, with properties calculated at the GGA-PBE level.

Lattice parameters (Å, degrees): 7.4286 7.4286 19.0093 90.00 90.00 120.00
Space group R3m (No. 160, hexagonal axes)
Inequivalent atoms, fractional coordinates:
Pm: 0.0000 0.0000 0.0000 [3 per cell]
Pm: 0.0000 0.0000 0.1747 [3 per cell]
Sm: 0.0000 0.0000 0.7355 [3 per cell]
Dy: 0.0161 0.5081 0.1879 [9 per cell]
Dy: 0.0460 0.5230 0.9912 [9 per cell]

N(E_F)	1.4974	states/eV/atom
spin magnetization	0.0	μB per formula unit

2.
Below is a geometry-optimized Pm2SmDy6 structure, with properties calculated at the GGA-PBE level.

Lattice parameters (Å, degrees): 17.9232 9.9191 3.4358 90.00 101.04 90.00
Space group C2/m (No. 12)
Inequivalent atoms, fractional coordinates:
Pm: 0.1670 0.0000 0.1652 [4 per cell]
Sm: 0.0000 0.5000 0.5000 [2 per cell]
Dy: 0.0000 0.1877 0.0000 [4 per cell]
Dy: 0.1665 0.3125 0.6654 [8 per cell]

N(E_F)	2.2427	states/eV/atom
spin magnetization	0.0	μB per formula unit

The most stable arrangement is 2, and the next structure is 147 meV per atom less stable.

1.
Below is a geometry-optimized Pm8SmDy2 structure, with properties calculated at the GGA-PBE level.

Lattice parameters (Å, degrees): 11.2388 7.4447 9.3364 90.00 106.44 90.00
Space group C2/m (No. 12)
Inequivalent atoms, fractional coordinates:
Pm: 0.0687 0.2191 0.2708 [8 per cell]
Pm: 0.1707 0.0000 0.6205 [4 per cell]
Pm: 0.1943 0.0000 0.9989 [4 per cell]
Sm: 0.0000 0.5000 0.0000 [2 per cell]
Dy: 0.1422 0.5000 0.6227 [4 per cell]

N(E_F)	1.4878	states/eV/atom
spin magnetization	0.0	μB per formula unit

2.
Below is a geometry-optimized Pm8SmDy2 structure, with properties calculated at the GGA-PBE level.

Lattice parameters (Å, degrees): 16.8576 6.7785 6.7221 90.00 100.00 90.00
Space group C2/m (No. 12)
Inequivalent atoms, fractional coordinates:
Pm: 0.0883 0.2377 0.4076 [8 per cell]
Pm: 0.0923 0.0000 0.9115 [4 per cell]
Pm: 0.2444 0.5000 0.3161 [4 per cell]
Sm: 0.0000 0.5000 0.0000 [2 per cell]
Dy: 0.2005 0.5000 0.8054 [4 per cell]

N(E_F)	1.6390	states/eV/atom
spin magnetization	0.0	μB per formula unit

The most stable arrangement is 1, and the next structure is 49 meV per atom less stable.

1.
Below is a geometry-optimized Pm4SmDy7 structure, with properties calculated at the GGA-PBE level.

Lattice parameters (Å, degrees): 12.1211 5.9243 12.7976 90.00 118.09 90.00
Space group C2/m (No. 12)
Inequivalent atoms, fractional coordinates:
Pm: 0.1368 0.0000 0.2768 [4 per cell]
Pm: 0.2301 0.5000 0.1716 [4 per cell]
Sm: 0.0000 0.5000 0.5000 [2 per cell]
Dy: 0.0000 0.0000 0.5000 [2 per cell]
Dy: 0.0670 0.5000 0.8177 [4 per cell]
Dy: 0.1318 0.0000 0.9970 [4 per cell]
Dy: 0.2109 0.5000 0.4230 [4 per cell]

N(E_F)	1.6464	states/eV/atom
spin magnetization	0.0	μB per formula unit

2.
Below is a geometry-optimized Pm4SmDy7 structure, with properties calculated at the GGA-PBE level.

Lattice parameters (Å, degrees): 6.5670 6.8547 9.1150 85.23 77.08 81.92
Space group P-1 (No. 2)
Inequivalent atoms, fractional coordinates:
Pm: 0.1390 0.3089 0.2839 [2 per cell]
Pm: 0.3371 0.8861 0.6910 [2 per cell]
Sm: 0.5000 0.5000 0.0000 [1 per cell]
Dy: 0.0134 0.2508 0.9489 [2 per cell]
Dy: 0.1818 0.8021 0.3594 [2 per cell]
Dy: 0.3109 0.3949 0.6143 [2 per cell]
Dy: 0.5000 0.0000 0.0000 [1 per cell]

N(E_F)	1.6140	states/eV/atom
spin magnetization	0.0	μB per formula unit

The most stable arrangement is 2, and the next structure is 175 meV per atom less stable.

1.
Below is a geometry-optimized Pm5SmDy4 structure, with properties calculated at the GGA-PBE level.

Lattice parameters (Å, degrees): 17.1834 3.5608 11.5056 90.00 109.06 90.00
Space group C2/m (No. 12)
Inequivalent atoms, fractional coordinates:
Pm: 0.0000 0.0000 0.0000 [2 per cell]
Pm: 0.1895 0.5000 0.5790 [4 per cell]
Pm: 0.2102 0.5000 0.1148 [4 per cell]
Sm: 0.0000 0.0000 0.5000 [2 per cell]
Dy: 0.0834 0.5000 0.7916 [4 per cell]
Dy: 0.1049 0.0000 0.2971 [4 per cell]

N(E_F)	1.3463	states/eV/atom
spin magnetization	0.0	μB per formula unit

2.
Below is a geometry-optimized Pm5SmDy4 structure, with properties calculated at the GGA-PBE level.

Lattice parameters (Å, degrees): 18.2183 3.5932 10.5080 90.00 96.16 90.00
Space group C2/m (No. 12)
Inequivalent atoms, fractional coordinates:
Pm: 0.0000 0.0000 0.0000 [2 per cell]
Pm: 0.1423 0.5000 0.7324 [4 per cell]
Pm: 0.1891 0.5000 0.0957 [4 per cell]
Sm: 0.0000 0.0000 0.5000 [2 per cell]
Dy: 0.0457 0.5000 0.2606 [4 per cell]
Dy: 0.1831 0.0000 0.4112 [4 per cell]

N(E_F)	1.5540	states/eV/atom
spin magnetization	0.0	μB per formula unit

The most stable arrangement is 1, and the next structure is 117 meV per atom less stable.

1.
Below is a geometry-optimized Pm7Sm2Dy structure, with properties calculated at the GGA-PBE level.

Lattice parameters (Å, degrees): 12.0283 16.8275 3.5398 90.00 90.00 90.00
Space group Cmmm (No. 65)
Inequivalent atoms, fractional coordinates:
Pm: 0.0000 0.0000 0.0000 [2 per cell]
Pm: 0.0000 0.1763 0.5000 [4 per cell]
Pm: 0.2448 0.1273 0.0000 [8 per cell]
Sm: 0.0000 0.3305 0.0000 [4 per cell]
Dy: 0.0000 0.5000 0.5000 [2 per cell]

N(E_F)	1.4630	states/eV/atom
spin magnetization	0.0	μB per formula unit

2.
Below is a geometry-optimized Pm7Sm2Dy structure, with properties calculated at the GGA-PBE level.

Lattice parameters (Å, degrees): 8.7382 17.1646 5.4372 90.00 90.00 90.00
Space group Cmmm (No. 65)
Inequivalent atoms, fractional coordinates:
Pm: 0.0000 0.0000 0.0000 [2 per cell]
Pm: 0.0000 0.2940 0.5000 [4 per cell]
Pm: 0.1800 0.3908 0.0000 [8 per cell]
Sm: 0.0000 0.2049 0.0000 [4 per cell]
Dy: 0.0000 0.5000 0.5000 [2 per cell]

N(E_F)	1.5367	states/eV/atom
spin magnetization	0.0	μB per formula unit

The most stable arrangement is 1, and the next structure is 256 meV per atom less stable.